No. 1
PBE-GGA AcBiSb2Rh5, relaxed; magnetic moment = 0.0 μB per cell; symmetry = P4/mmm, No. 123; E_form (uncorrected) = -37.8 kJ/mol of atoms
1.0
4.2006 0.0000 0.0000
0.0000 4.2006 0.0000
0.0000 0.0000 11.6394
Ac Bi Sb Rh
1 1 2 5
direct
0.0000 0.0000 0.0000
0.0000 0.0000 0.5000
0.5000 0.5000 0.2216
0.5000 0.5000 0.7784
0.0000 0.5000 0.3503
0.0000 0.5000 0.6497
0.5000 0.0000 0.3503
0.5000 0.0000 0.6497
0.5000 0.5000 0.0000

No. 2
PBE-GGA PmNd2Dy4, relaxed; DFT formation energy = 0.046 eV per atom; magnetic moment = 0.0 μB per cell; E above lowest polymorph = 0.00 eV/f.u.; symmetry = C2/m, No. 12
1.0
16.9191 0.0000 0.0000
0.0000 3.5597 0.0000
-4.4002 0.0000 7.6824
Pm Nd Dy
2 4 8
direct
0.0000 0.0000 0.0000
0.5000 0.5000 0.0000
0.0691 0.0000 0.4275
0.4309 0.5000 0.5725
0.5691 0.5000 0.4275
0.9309 0.0000 0.5725
0.1463 0.5000 0.8450
0.2065 0.5000 0.2926
0.2935 0.0000 0.7074
0.3537 0.0000 0.1550
0.6463 0.0000 0.8450
0.7065 0.0000 0.2926
0.7935 0.5000 0.7074
0.8537 0.5000 0.1550

No. 3
PBE-GGA BaPmBi, relaxed; DFT formation energy = -0.389 eV per atom; magnetic moment = 0.9 μB per cell; E above lowest polymorph = 0.15 eV/f.u.; symmetry = Cmcm, No. 63
1.0
3.8932 0.0000 0.0000
0.0000 19.8209 0.0000
0.0000 0.0000 6.3155
Ba Pm Bi
4 4 4
direct
0.0000 0.1709 0.2500
0.0000 0.8291 0.7500
0.5000 0.3291 0.7500
0.5000 0.6709 0.2500
0.0000 0.5000 0.0000
0.0000 0.5000 0.5000
0.5000 0.0000 0.0000
0.5000 0.0000 0.5000
0.0000 0.3536 0.2500
0.0000 0.6464 0.7500
0.5000 0.1464 0.7500
0.5000 0.8536 0.2500

No. 4
PBE-GGA Ca2OsPt, relaxed; DFT formation energy = 0.147 eV per atom; magnetic moment = 0.8 μB per cell; E above lowest polymorph = 0.88 eV/f.u.; symmetry = P4mm, No. 99
1.0
3.5194 0.0000 0.0000
0.0000 3.5194 0.0000
0.0000 0.0000 8.2374
Ca Os Pt
2 1 1
direct
0.0000 0.0000 0.0000
0.5000 0.5000 0.4090
0.0000 0.0000 0.6588
0.5000 0.5000 0.7596

No. 5
PBE-GGA LiY5Al4, relaxed; DFT formation energy = -0.335 eV per atom; magnetic moment = 0.0 μB per cell; symmetry = P4/mmm, No. 123
1.0
3.5924 0.0000 0.0000
0.0000 3.5924 0.0000
0.0000 0.0000 18.5191
Li Y Al
1 5 4
direct
0.0000 0.0000 0.0000
0.5000 0.5000 0.1088
0.5000 0.5000 0.3043
0.5000 0.5000 0.5000
0.5000 0.5000 0.6957
0.5000 0.5000 0.8912
0.0000 0.0000 0.2034
0.0000 0.0000 0.4020
0.0000 0.0000 0.5980
0.0000 0.0000 0.7966

No. 6
PBE-GGA CeZnCd, relaxed; DFT formation energy = -0.247 eV per atom; magnetic moment = 3.0 μB per cell; symmetry = Immm, No. 71
1.0
4.8446 0.0000 0.0000
0.0000 6.4532 0.0000
0.0000 0.0000 8.6617
Ce Zn Cd
4 4 4
direct
0.0000 0.2152 0.0000
0.0000 0.7848 0.0000
0.5000 0.2848 0.5000
0.5000 0.7152 0.5000
0.0000 0.5000 0.3292
0.0000 0.5000 0.6708
0.5000 0.0000 0.1708
0.5000 0.0000 0.8292
0.0000 0.0000 0.3360
0.0000 0.0000 0.6640
0.5000 0.5000 0.1640
0.5000 0.5000 0.8360

No. 7
PBE-GGA Ac2UGaRh6, relaxed; DFT formation energy = -0.562 eV per atom; magnetic moment = 0.0 μB per cell; symmetry = P-1, No. 2
1.0
6.3593 0.0000 0.0000
-2.7338 5.7779 0.0000
-0.6355 -3.6266 5.9118
Ac U Ga Rh
2 1 1 6
direct
0.2199 0.0784 0.2962
0.7801 0.9216 0.7038
0.5000 0.5000 0.0000
0.0000 0.5000 0.5000
0.2407 0.6471 0.8883
0.2662 0.6059 0.2727
0.3302 0.9936 0.7298
0.6698 0.0064 0.2702
0.7338 0.3941 0.7273
0.7593 0.3529 0.1117

No. 8
PBE-GGA LiAcTl4, relaxed; DFT formation energy = -0.039 eV per atom; magnetic moment = 0.0 μB per cell; E above lowest polymorph = 1.33 eV/f.u.; symmetry = P4/mmm, No. 123
1.0
4.7247 0.0000 0.0000
0.0000 4.7247 0.0000
0.0000 0.0000 8.4778
Li Ac Tl
1 1 4
direct
0.0000 0.0000 0.0000
0.5000 0.5000 0.5000
0.0000 0.5000 0.1946
0.0000 0.5000 0.8054
0.5000 0.0000 0.1946
0.5000 0.0000 0.8054

- What is the formula in the third record?
  BaPmBi